# 1
Below is crystalline LiCd2In at its relaxed geometry, with properties calculated at the PBE-GGA level.

Cell and atoms, written as CIF:
```
data_LiCd2In
_chemical_formula_sum 'Li1 Cd2 In1'
_space_group_name_H-M_alt 'P 1'
_space_group_IT_number 1
_cell_length_a 3.114
_cell_length_b 3.114
_cell_length_c 9.079
_cell_angle_alpha 90.00
_cell_angle_beta 90.00
_cell_angle_gamma 89.99
loop_
_space_group_symop_operation_xyz
'x,y,z'
loop_
_atom_site_label
_atom_site_type_symbol
_atom_site_fract_x
_atom_site_fract_y
_atom_site_fract_z
Li1 Li 0.500 0.500 0.750
Cd1 Cd 0.000 0.000 0.971
Cd2 Cd 0.000 0.000 0.529
In1 In 0.500 0.500 0.250
```

- energy of formation (eV per atom) = -0.112
- magnetic moment (μB per cell) = 0.0
- DOS at the Fermi energy (states/eV per cell) = 1.173


# 2
Below is crystalline CePmNi at its relaxed geometry, with properties calculated at the PBE-GGA level.

Cell and atoms, written as CIF:
```
data_CePmNi
_chemical_formula_sum 'Ce1 Pm1 Ni1'
_space_group_name_H-M_alt 'P 1'
_space_group_IT_number 1
_cell_length_a 4.807
_cell_length_b 4.807
_cell_length_c 4.807
_cell_angle_alpha 60.00
_cell_angle_beta 60.00
_cell_angle_gamma 60.00
loop_
_space_group_symop_operation_xyz
'x,y,z'
loop_
_atom_site_label
_atom_site_type_symbol
_atom_site_fract_x
_atom_site_fract_y
_atom_site_fract_z
Ni1 Ni 0.250 0.250 0.250
Ce1 Ce 0.500 0.500 0.500
Pm1 Pm 0.000 0.000 0.000
```

- energy of formation (eV per atom) = 0.012
- magnetic moment (μB per cell) = 1.3
- DOS at the Fermi energy (states/eV per cell) = 8.778


# 3
Below is crystalline TlCrIn2 at its relaxed geometry, with properties calculated at the PBE-GGA level.

Cell and atoms, written as CIF:
```
data_TlCrIn2
_chemical_formula_sum 'Tl1 Cr1 In2'
_space_group_name_H-M_alt 'P 1'
_space_group_IT_number 1
_cell_length_a 3.541
_cell_length_b 3.927
_cell_length_c 6.973
_cell_angle_alpha 90.00
_cell_angle_beta 90.00
_cell_angle_gamma 90.00
loop_
_space_group_symop_operation_xyz
'x,y,z'
loop_
_atom_site_label
_atom_site_type_symbol
_atom_site_fract_x
_atom_site_fract_y
_atom_site_fract_z
In1 In 0.000 0.000 0.975
In2 In 0.500 0.500 0.235
Tl1 Tl 0.000 0.000 0.518
Cr1 Cr 0.500 0.500 0.772
```

- energy of formation (eV per atom) = 0.363
- magnetic moment (μB per cell) = 4.2
- DOS at the Fermi energy (states/eV per cell) = 2.311


# 4
Below is crystalline K2LiYF6 at its relaxed geometry, with properties calculated at the PBE-GGA level.

Cell and atoms, written as CIF:
```
data_K2LiYF6
_chemical_formula_sum 'K2 Li1 Y1 F6'
_space_group_name_H-M_alt 'P 1'
_space_group_IT_number 1
_cell_length_a 6.043
_cell_length_b 6.043
_cell_length_c 6.043
_cell_angle_alpha 60.00
_cell_angle_beta 60.00
_cell_angle_gamma 60.00
loop_
_space_group_symop_operation_xyz
'x,y,z'
loop_
_atom_site_label
_atom_site_type_symbol
_atom_site_fract_x
_atom_site_fract_y
_atom_site_fract_z
Y1 Y 0.000 0.000 0.000
F1 F 0.745 0.745 0.255
F2 F 0.255 0.745 0.255
F3 F 0.255 0.745 0.745
F4 F 0.255 0.255 0.745
F5 F 0.745 0.255 0.745
F6 F 0.745 0.255 0.255
K1 K 0.750 0.750 0.750
K2 K 0.250 0.250 0.250
Li1 Li 0.500 0.500 0.500
```

- magnetic moment (μB per cell) = 0.0
- DOS at the Fermi energy (states/eV per cell) = 0.000
- formation energy without anion corrections (eV/atom) = -3.339


# 5
Below is crystalline ScW2Se at its relaxed geometry, with properties calculated at the PBE-GGA level.

Cell and atoms, written as CIF:
```
data_ScW2Se
_chemical_formula_sum 'Sc1 W2 Se1'
_space_group_name_H-M_alt 'P 1'
_space_group_IT_number 1
_cell_length_a 4.809
_cell_length_b 4.809
_cell_length_c 4.809
_cell_angle_alpha 126.85
_cell_angle_beta 126.85
_cell_angle_gamma 78.49
loop_
_space_group_symop_operation_xyz
'x,y,z'
loop_
_atom_site_label
_atom_site_type_symbol
_atom_site_fract_x
_atom_site_fract_y
_atom_site_fract_z
W1 W 0.250 0.750 0.500
W2 W 0.000 0.000 0.000
Se1 Se 0.750 0.250 0.500
Sc1 Sc 0.500 0.500 0.000
```

- magnetic moment (μB per cell) = 0.0
- DOS at the Fermi energy (states/eV per cell) = 3.581
- formation energy without anion corrections (eV/atom) = 0.320


# 6
Below is crystalline BAs at its relaxed geometry, with properties calculated at the PBE-GGA level.

Cell and atoms, written as CIF:
```
data_BAs
_chemical_formula_sum 'B6 As6'
_space_group_name_H-M_alt 'P 1'
_space_group_IT_number 1
_cell_length_a 9.694
_cell_length_b 3.348
_cell_length_c 5.983
_cell_angle_alpha 90.00
_cell_angle_beta 90.00
_cell_angle_gamma 90.00
loop_
_space_group_symop_operation_xyz
'x,y,z'
loop_
_atom_site_label
_atom_site_type_symbol
_atom_site_fract_x
_atom_site_fract_y
_atom_site_fract_z
B1 B 0.715 0.665 0.163
B2 B 0.215 0.335 0.663
B3 B 0.785 0.335 0.663
B4 B 0.285 0.665 0.163
B5 B 0.500 0.953 0.912
B6 B 0.000 0.047 0.412
As1 As 0.000 0.523 0.632
As2 As 0.704 0.837 0.816
As3 As 0.796 0.163 0.316
As4 As 0.500 0.477 0.132
As5 As 0.296 0.837 0.816
As6 As 0.204 0.163 0.316
```

- energy of formation (eV per atom) = 0.426
- magnetic moment (μB per cell) = 0.0
- DOS at the Fermi energy (states/eV per cell) = 0.031


Repeat the second record exactly.
Below is crystalline CePmNi at its relaxed geometry, with properties calculated at the PBE-GGA level.

Cell and atoms, written as CIF:
```
data_CePmNi
_chemical_formula_sum 'Ce1 Pm1 Ni1'
_space_group_name_H-M_alt 'P 1'
_space_group_IT_number 1
_cell_length_a 4.807
_cell_length_b 4.807
_cell_length_c 4.807
_cell_angle_alpha 60.00
_cell_angle_beta 60.00
_cell_angle_gamma 60.00
loop_
_space_group_symop_operation_xyz
'x,y,z'
loop_
_atom_site_label
_atom_site_type_symbol
_atom_site_fract_x
_atom_site_fract_y
_atom_site_fract_z
Ni1 Ni 0.250 0.250 0.250
Ce1 Ce 0.500 0.500 0.500
Pm1 Pm 0.000 0.000 0.000
```

- energy of formation (eV per atom) = 0.012
- magnetic moment (μB per cell) = 1.3
- DOS at the Fermi energy (states/eV per cell) = 8.778


> Which formula does entry 6 have?

BAs


> Which value of magnetic moment does entry 3 give?

4.2 μB per cell